# 1
DFT (PBE) results for a relaxed structure of Rb2Pd2Rh.

* crystal system: tetragonal
* symmetry: P4/mbm (127)
* total energy: -3.56 eV per atom
* N(E_F): 10.58 states/eV/cell
* energy relative to the elements: 0.375 eV per atom
* M_tot: 1.56 Bohr magnetons per cell

Cell lengths 6.755, 6.755, 5.601 Å; angles 90.00, 90.00, 90.00 degrees
Atoms (fractional coordinates):
Rb: 0.183 0.317 0.000
Rb: 0.317 0.817 0.000
Rb: 0.683 0.183 0.000
Rb: 0.817 0.683 0.000
Pd: 0.138 0.638 0.500
Pd: 0.362 0.138 0.500
Pd: 0.638 0.862 0.500
Pd: 0.862 0.362 0.500
Rh: 0.000 0.000 0.500
Rh: 0.500 0.500 0.500

# 2
DFT (PBE) results for a relaxed structure of Pm3PaTl4Se8.

* crystal system: trigonal
* symmetry: R-3m (166)
* formation energy without anion corrections: -1.26 eV per atom
* total energy: -5.08 eV per atom
* N(E_F): 9.49 states/eV/cell
* M_tot: 2.04 Bohr magnetons per cell

Cell lengths 9.235, 9.235, 9.235 Å; angles 54.88, 54.88, 54.88 degrees
Atoms (fractional coordinates):
Pm: 0.000 0.500 0.500
Pm: 0.500 0.000 0.500
Pm: 0.500 0.500 0.000
Pa: 0.000 0.000 0.000
Tl: 0.000 0.000 0.500
Tl: 0.000 0.500 0.000
Tl: 0.500 0.000 0.000
Tl: 0.500 0.500 0.500
Se: 0.232 0.232 0.744
Se: 0.232 0.744 0.232
Se: 0.256 0.768 0.768
Se: 0.263 0.263 0.263
Se: 0.737 0.737 0.737
Se: 0.744 0.232 0.232
Se: 0.768 0.256 0.768
Se: 0.768 0.768 0.256

# 3
DFT (PBE) results for a relaxed structure of ZrTiTcPt.

* crystal system: cubic
* symmetry: F-43m (216)
* total energy: -8.87 eV per atom
* N(E_F): 3.85 states/eV/cell
* energy relative to the elements: -0.660 eV per atom
* M_tot: 0.00 Bohr magnetons per cell

Cell lengths 4.569, 4.569, 4.569 Å; angles 60.00, 60.00, 60.00 degrees
Atoms (fractional coordinates):
Zr: 0.000 0.000 0.000
Ti: 0.500 0.500 0.500
Tc: 0.250 0.250 0.250
Pt: 0.750 0.750 0.750

# 4
DFT (PBE) results for a relaxed structure of KSr3Ir.

* crystal system: orthorhombic
* symmetry: Cmcm (63)
* energy relative to the lowest polymorph listed for this composition: 735 meV/atom
* total energy: -2.37 eV per atom
* N(E_F): 10.51 states/eV/cell
* energy relative to the elements: 0.635 eV per atom
* M_tot: 2.44 Bohr magnetons per cell

Cell lengths 16.408, 16.408, 5.922 Å; angles 90.00, 90.00, 153.66 degrees
Atoms (fractional coordinates):
K: 0.125 0.875 0.750
K: 0.875 0.125 0.250
Sr: 0.000 0.000 0.000
Sr: 0.000 0.000 0.500
Sr: 0.022 0.449 0.750
Sr: 0.449 0.022 0.250
Sr: 0.551 0.978 0.750
Sr: 0.978 0.551 0.250
Ir: 0.223 0.777 0.750
Ir: 0.777 0.223 0.250

# 5
DFT (PBE) results for a relaxed structure of KHfH2Pt.

* crystal system: tetragonal
* symmetry: P4/mmm (123)
* total energy: -3.88 eV per atom
* N(E_F): 3.00 states/eV/cell
* M_tot: 0.00 Bohr magnetons per cell

Cell lengths 4.000, 4.000, 5.805 Å; angles 90.00, 90.00, 90.00 degrees
Atoms (fractional coordinates):
K: 0.000 0.000 0.000
Hf: 0.500 0.500 0.500
H: 0.000 0.500 0.000
H: 0.500 0.000 0.000
Pt: 0.000 0.000 0.500

# 6
DFT (PBE) results for a relaxed structure of LiAl2Se.

* crystal system: tetragonal
* symmetry: P4mm (99)
* formation energy without anion corrections: -0.24 eV per atom
* total energy: -3.46 eV per atom
* N(E_F): 1.56 states/eV/cell
* M_tot: 0.00 Bohr magnetons per cell

Cell lengths 3.622, 3.622, 5.661 Å; angles 90.00, 90.00, 90.00 degrees
Atoms (fractional coordinates):
Li: 0.000 0.000 0.000
Al: 0.000 0.000 0.489
Al: 0.500 0.500 0.686
Se: 0.500 0.500 0.129